No. 1
Computed, not measured: Mg2Pd after structural relaxation at the GGA-PBE level of DFT.

Lattice parameters (Å, degrees): 5.2400 5.2400 4.4824 90.00 90.00 60.00
Element x y z (fractional)
Pd 0.0000 0.0000 0.0000
Pd 0.3333 0.3333 0.0000
Mg 0.6667 0.6667 0.0000
Mg 0.0298 0.3035 0.5000
Mg 0.3035 0.6667 0.5000
Mg 0.6667 0.0298 0.5000

No. 2
Computed, not measured: PmMg2Pd after structural relaxation at the GGA-PBE level of DFT.

Values from the calculation:
**Spin magnetization**: 0.0 μB/f.u.

Lattice parameters (Å, degrees): 5.6091 5.6091 8.3009 90.00 90.00 135.65
Element x y z (fractional)
Mg 0.1502 0.8498 0.9464
Mg 0.1502 0.8498 0.5536
Mg 0.8498 0.1502 0.0536
Mg 0.8498 0.1502 0.4464
Pd 0.7274 0.2726 0.7500
Pd 0.2726 0.7274 0.2500
Pm 0.5611 0.4389 0.2500
Pm 0.4389 0.5611 0.7500

DFT total energy list, top to bottom, in eV per atom: -3.1701, -3.7826